CePmZnGe | PBE-GGA | relaxed

POSCAR file:
```
CePmZnGe
1.0
-3.5965 3.5741 -0.8739
-2.9981 1.6283 3.8513
0.5849 4.7523 1.8829
Ge Ce Zn Pm
1 1 1 1
Cartesian
-1.5024 2.4887 1.2151 Ge
-3.0048 4.9773 2.4301 Ce
-4.5072 7.4660 3.6452 Zn
0.0000 0.0000 0.0000 Pm
```

Calculated values
- ΔE_f: -0.468 eV per atom
- Size of the total moment: 0.9 μB/f.u.